1.
Material: K4AlCu
Method: DFT, GGA-PBE
State: relaxed

Calculated values
The total moment is 0.93 μB per formula unit.

Cell lengths 7.2318, 7.2318, 7.2318 Å; angles 60.00, 60.00, 60.00 degrees
With the nearest neighbours (Å) after each atom.
Fractional coordinates of all 6 atoms:
K 0.1252 0.1252 0.1252  6 K 3.61-3.62
K 0.1252 0.1252 0.6243  6 K 3.61-3.62
K 0.1252 0.6243 0.1252  6 K 3.61-3.62
K 0.6243 0.1252 0.1252  6 K 3.61-3.62
Al 0.7500 0.7500 0.7500  12 K 4.24, 4 Cu 4.43
Cu 0.5000 0.5000 0.5000  12 K 4.24, 4 Al 4.43

---

2.
Material: KAlCu2
Method: DFT, GGA-PBE
State: relaxed

Calculated values
The total moment is 0.00 μB per formula unit.

Cell lengths 5.0886, 5.0886, 2.8061 Å; angles 90.09, 90.09, 89.76 degrees
With the nearest neighbours (Å) after each atom.
Fractional coordinates of all 4 atoms:
K 0.0000 0.0000 0.0000  2 K 2.81, 8 Cu 2.90-2.91
Al 0.5000 0.5000 0.0000  2 Al 2.81, 8 Cu 2.90-2.91
Cu 0.0000 0.5000 0.5000  2 Cu 2.81, 4 K 2.90-2.91, 4 Al 2.90-2.91
Cu 0.5000 0.0000 0.5000  2 Cu 2.81, 4 K 2.90-2.91, 4 Al 2.90-2.91

---

3.
Material: KAl2Cu2
Method: DFT, GGA-PBE
State: relaxed

Calculated values
The total moment is 0.00 μB per formula unit.

Cell lengths 5.9876, 5.9876, 5.9876 Å; angles 135.29, 135.29, 65.07 degrees
With the nearest neighbours (Å) after each atom.
Fractional coordinates of all 5 atoms:
K 0.0000 0.0000 0.0000  8 Cu 3.40, 10 Al 3.55
Al 0.3514 0.3514 0.0000  4 Cu 2.50
Al 0.6486 0.6486 0.0000  4 Cu 2.50
Cu 0.2500 0.7500 0.5000  4 Al 2.50
Cu 0.7500 0.2500 0.5000  4 Al 2.50

---

Number 1: energy of formation from the pure elements 705 meV/atom. Number 2: energy of formation from the pure elements 462 meV/atom. Number 3: energy of formation from the pure elements 132 meV/atom.